Below is an optimized crystal structure of FeReNi2, with properties calculated at the PBE-GGA level.

The structure in POSCAR format:
```
FeReNi2
1.0
2.593 0.000 0.000
0.000 2.593 0.000
0.000 0.000 7.227
Fe Re Ni
1 1 2
Direct
0.000 0.000 0.000 Fe
0.500 0.500 0.725 Re
0.000 0.000 0.471 Ni
0.500 0.500 0.229 Ni
```

Results
Offset from the most stable computed form (meV per atom): 27
E_form (eV per atom): 0.04

Below is an optimized crystal structure of FeRe2Ni, with properties calculated at the PBE-GGA level.

The structure in POSCAR format:
```
FeRe2Ni
1.0
2.614 0.000 0.000
0.000 4.041 0.000
-1.289 0.000 4.831
Fe Re Ni
1 2 1
Direct
0.000 0.000 0.000 Fe
0.399 0.500 0.798 Re
0.729 0.000 0.467 Re
0.130 0.500 0.265 Ni
```

Results
Offset from the most stable computed form (meV per atom): 12
E_form (eV per atom): 0.03

Below is an optimized crystal structure of FeReNi2S, with properties calculated at the PBE-GGA level.

The structure in POSCAR format:
```
FeReNi2S
1.0
4.289 0.000 0.000
0.000 4.289 0.000
0.000 0.000 3.949
Fe Re Ni S
1 1 2 1
Direct
0.000 0.000 0.000 Fe
0.500 0.500 0.500 Re
0.000 0.500 0.000 Ni
0.500 0.000 0.000 Ni
0.000 0.000 0.500 S
```

Results
Formation energy without anion corrections (eV/atom): 1.31

Below is an optimized crystal structure of ScFe2ReNi, with properties calculated at the PBE-GGA level.

The structure in POSCAR format:
```
ScFe2ReNi
1.0
4.431 0.000 0.000
0.000 4.431 0.000
0.000 0.000 4.972
Sc Fe Re Ni
1 2 1 1
Direct
0.000 0.000 0.000 Sc
0.000 0.500 0.500 Fe
0.500 0.000 0.500 Fe
0.000 0.000 0.500 Re
0.500 0.500 0.000 Ni
```

Results
E_form (eV per atom): 1.30